Here is crystalline Sm5YTl6 at its relaxed geometry from Alexandria via LeMat-Bulk. Energies are from PBE-GGA.

abc: 5.4694 16.4312 7.6361
angles: 90.00 90.00 90.00
Space group Cmmm (No. 65)
Unique sites:
Sm: 0.0000 0.0000 0.0000 (multiplicity 2)
Sm: 0.0000 0.3317 0.0000 (multiplicity 4)
Sm: 0.0000 0.3336 0.5000 (multiplicity 4)
Y: 0.0000 0.0000 0.5000 (multiplicity 2)
Tl: 0.0000 0.1650 0.2524 (multiplicity 8)
Tl: 0.0000 0.5000 0.2516 (multiplicity 4)

Calculated values
DOS(E_F) in states/eV/atom: 0.7783
Crystal system: orthorhombic
Calculated density in g cm⁻³: 10.0
Total DFT energy (no corrections) in eV/atom: -4.07
Formation energy from the elements in eV per atom: -0.379



Here is crystalline Pr5PaRu4 at its relaxed geometry from Alexandria via LeMat-Bulk. Energies are from PBE-GGA.

abc: 17.5326 4.4190 7.3544
angles: 90.00 110.07 90.00
Space group C2/m (No. 12)
Unique sites:
Pr: 0.0000 0.0000 0.0000 (multiplicity 2)
Pr: 0.1651 0.5000 0.5403 (multiplicity 4)
Pr: 0.1725 0.5000 0.0496 (multiplicity 4)
Pa: 0.0000 0.0000 0.5000 (multiplicity 2)
Ru: 0.0123 0.5000 0.7125 (multiplicity 4)
Ru: 0.1416 0.0000 0.7758 (multiplicity 4)

Calculated values
DOS(E_F) in states/eV/atom: 0.7873
Crystal system: monoclinic
Calculated density in g cm⁻³: 8.3
Total DFT energy (no corrections) in eV/atom: -7.31
Formation energy from the elements in eV per atom: -0.264



Here is crystalline Sc2PaSb at its relaxed geometry from Alexandria via LeMat-Bulk. Energies are from PBE-GGA.

abc: 3.6840 3.6840 6.8815
angles: 90.00 90.00 90.00
Space group P4/mmm (No. 123)
Unique sites:
Sc: 0.0000 0.0000 0.2294 (multiplicity 2)
Pa: 0.5000 0.5000 0.5000 (multiplicity 1)
Sb: 0.5000 0.5000 0.0000 (multiplicity 1)

Calculated values
DOS(E_F) in states/eV/atom: 0.7810
Crystal system: tetragonal
Calculated density in g cm⁻³: 7.9
Total DFT energy (no corrections) in eV/atom: -6.91
Formation energy without anion corrections in kJ per mole of atoms: -33.1
Offset from the most stable computed form in meV/atom: 0



Here is crystalline Tl2Sn3Se8 at its relaxed geometry from Alexandria via LeMat-Bulk. Energies are from PBE-GGA.

abc: 14.4968 7.8966 6.9143
angles: 90.00 101.52 90.00
Space group C2/m (No. 12)
Unique sites:
Tl: 0.2474 0.0000 0.1618 (multiplicity 4)
Sn: 0.0000 0.2488 0.5000 (multiplicity 4)
Sn: 0.0000 0.5000 0.0000 (multiplicity 2)
Se: 0.1025 0.2474 0.8827 (multiplicity 8)
Se: 0.1098 0.5000 0.3848 (multiplicity 4)
Se: 0.1236 0.0000 0.4544 (multiplicity 4)

Calculated values
DOS(E_F) in states/eV/atom: 0.3172
Crystal system: monoclinic
Calculated density in g cm⁻³: 6.0
Total DFT energy (no corrections) in eV/atom: -3.67
Formation energy without anion corrections in kJ per mole of atoms: -23.3



Here is crystalline BaNaCd2Pd2 at its relaxed geometry from Alexandria via LeMat-Bulk. Energies are from PBE-GGA.

abc: 4.7953 4.7953 7.6467
angles: 90.00 90.00 120.00
Space group P-3m1 (No. 164)
Unique sites:
Ba: 0.0000 0.0000 0.0000 (multiplicity 1)
Na: 0.0000 0.0000 0.5000 (multiplicity 1)
Cd: 0.3333 0.6667 0.3268 (multiplicity 2)
Pd: 0.3333 0.6667 0.7118 (multiplicity 2)

Calculated values
DOS(E_F) in states/eV/atom: 0.4267
Crystal system: trigonal
Calculated density in g cm⁻³: 6.5
Total DFT energy (no corrections) in eV/atom: -2.94
Formation energy from the elements in eV per atom: -0.366



Here is crystalline Li3Sc2GaO6 at its relaxed geometry from Alexandria via LeMat-Bulk. Energies are from PBE-GGA.

abc: 5.3030 9.2043 5.2327
angles: 90.00 109.36 90.00
Space group C2/m (No. 12)
Unique sites:
Li: 0.0000 0.0000 0.0000 (multiplicity 2)
Li: 0.0000 0.3453 0.0000 (multiplicity 4)
Sc: 0.0000 0.1673 0.5000 (multiplicity 4)
Ga: 0.0000 0.5000 0.5000 (multiplicity 2)
O: 0.2362 0.3390 0.7286 (multiplicity 8)
O: 0.2484 0.5000 0.2712 (multiplicity 4)

Calculated values
DOS(E_F) in states/eV/atom: 0.0000
Crystal system: monoclinic
Calculated density in g cm⁻³: 3.8
Total DFT energy (no corrections) in eV/atom: -6.86
Formation energy without anion corrections in kJ per mole of atoms: -250.8



Here is crystalline DyZn2AgAu2 at its relaxed geometry from Alexandria via LeMat-Bulk. Energies are from PBE-GGA.

abc: 4.5560 4.5560 6.3391
angles: 90.00 90.00 120.00
Space group P-3m1 (No. 164)
Unique sites:
Dy: 0.0000 0.0000 0.0000 (multiplicity 1)
Zn: 0.3333 0.6667 0.6977 (multiplicity 2)
Ag: 0.0000 0.0000 0.5000 (multiplicity 1)
Au: 0.3333 0.6667 0.2531 (multiplicity 2)

Calculated values
DOS(E_F) in states/eV/atom: 0.5308
Crystal system: trigonal
Calculated density in g cm⁻³: 11.6
Total DFT energy (no corrections) in eV/atom: -3.22
Formation energy from the elements in eV per atom: -0.461



Here is crystalline TcPO2F at its relaxed geometry from Alexandria via LeMat-Bulk. Energies are from PBE-GGA.

abc: 4.1474 4.1474 3.5255
angles: 90.00 90.00 90.00
Space group P4/mmm (No. 123)
Unique sites:
Tc: 0.0000 0.0000 0.0000 (multiplicity 1)
P: 0.5000 0.5000 0.0000 (multiplicity 1)
O: 0.0000 0.5000 0.5000 (multiplicity 2)
F: 0.5000 0.5000 0.5000 (multiplicity 1)

Calculated values
DOS(E_F) in states/eV/atom: 0.6661
Crystal system: tetragonal
Calculated density in g cm⁻³: 4.9
Total DFT energy (no corrections) in eV/atom: -4.64
Formation energy without anion corrections in kJ per mole of atoms: 84.2



Here is crystalline LaP2Os at its relaxed geometry from Alexandria via LeMat-Bulk. Energies are from PBE-GGA.

abc: 4.1712 4.8743 6.9290
angles: 90.00 90.00 90.00
Space group Cmmm (No. 65)
Unique sites:
La: 0.0000 0.0000 0.0000 (multiplicity 2)
P: 0.0000 0.5000 0.3027 (multiplicity 4)
Os: 0.0000 0.0000 0.5000 (multiplicity 2)

Calculated values
DOS(E_F) in states/eV/atom: 0.8550
Crystal system: orthorhombic
Calculated density in g cm⁻³: 9.2
Total DFT energy (no corrections) in eV/atom: -6.95
Formation energy from the elements in eV per atom: -0.206
Offset from the most stable computed form in meV/atom: 671



Here is crystalline Hf8Ge2C3 at its relaxed geometry from Alexandria via LeMat-Bulk. Energies are from PBE-GGA.

abc: 12.8636 6.6321 5.8998
angles: 90.00 105.41 90.00
Space group C2/m (No. 12)
Unique sites:
Hf: 0.0949 0.0000 0.4116 (multiplicity 4)
Hf: 0.0962 0.2495 0.8851 (multiplicity 8)
Hf: 0.0989 0.5000 0.3908 (multiplicity 4)
Ge: 0.2475 0.0000 0.1784 (multiplicity 4)
C: 0.0000 0.2630 0.5000 (multiplicity 4)
C: 0.0000 0.5000 0.0000 (multiplicity 2)

Calculated values
DOS(E_F) in states/eV/atom: 0.4614
Crystal system: monoclinic
Calculated density in g cm⁻³: 11.0
Total DFT energy (no corrections) in eV/atom: -9.45
Formation energy from the elements in eV per atom: -0.486



Here is crystalline K2ScInCl6 at its relaxed geometry from Alexandria via LeMat-Bulk. Energies are from PBE-GGA.

abc: 7.5865 7.5865 19.4923
angles: 90.00 90.00 120.00
Space group R3 (No. 146, hexagonal axes)
Unique sites:
K: 0.0000 0.0000 0.0000 (multiplicity 3)
K: 0.0000 0.0000 0.4889 (multiplicity 3)
Sc: 0.0000 0.0000 0.7011 (multiplicity 3)
In: 0.0000 0.0000 0.2119 (multiplicity 3)
Cl: 0.0374 0.4162 0.4376 (multiplicity 9)
Cl: 0.0861 0.7008 0.2883 (multiplicity 9)

Calculated values
DOS(E_F) in states/eV/atom: 0.0000
Crystal system: trigonal
Calculated density in g cm⁻³: 2.3
Total DFT energy (no corrections) in eV/atom: -4.05
Formation energy without anion corrections in kJ per mole of atoms: -175.3



Here is crystalline Pm2DyTh2 at its relaxed geometry from Alexandria via LeMat-Bulk. Energies are from PBE-GGA.

abc: 9.6060 9.6060 3.6551
angles: 90.00 90.00 90.00
Space group P4/mbm (No. 127)
Unique sites:
Pm: 0.1282 0.3718 0.0000 (multiplicity 4)
Dy: 0.0000 0.0000 0.0000 (multiplicity 2)
Th: 0.1711 0.6711 0.5000 (multiplicity 4)

Calculated values
DOS(E_F) in states/eV/atom: 1.3420
Crystal system: tetragonal
Calculated density in g cm⁻³: 9.0
Total DFT energy (no corrections) in eV/atom: -5.58
Formation energy from the elements in eV per atom: 0.213
Offset from the most stable computed form in meV/atom: 183



Here is crystalline Ba7Ga4Sb9 at its relaxed geometry from Alexandria via LeMat-Bulk. Energies are from PBE-GGA.

abc: 10.9826 18.4365 7.1950
angles: 90.00 90.00 90.00
Space group Pmmn (No. 59, origin choice 2)
Unique sites:
Ba: 0.0212 0.1255 0.0425 (multiplicity 8)
Ba: 0.2500 0.0338 0.5411 (multiplicity 4)
Ba: 0.2500 0.7500 0.5747 (multiplicity 2)
Ga: 0.0690 0.2500 0.5583 (multiplicity 4)
Ga: 0.2500 0.6229 0.2406 (multiplicity 4)
Sb: 0.0390 0.6182 0.4541 (multiplicity 8)
Sb: 0.2500 0.2500 0.2874 (multiplicity 2)
Sb: 0.2500 0.2500 0.8322 (multiplicity 2)
Sb: 0.2500 0.5072 0.0214 (multiplicity 4)
Sb: 0.2500 0.7500 0.0429 (multiplicity 2)

Calculated values
DOS(E_F) in states/eV/atom: 0.1002
Crystal system: orthorhombic
Calculated density in g cm⁻³: 5.3
Total DFT energy (no corrections) in eV/atom: -3.91
Formation energy without anion corrections in kJ per mole of atoms: -74.6



Here is crystalline CaSmCuSi at its relaxed geometry from Alexandria via LeMat-Bulk. Energies are from PBE-GGA.

abc: 7.1227 7.1227 7.1227
angles: 90.00 90.00 90.00
Space group F-43m (No. 216)
Unique sites:
Ca: 0.0000 0.0000 0.0000 (multiplicity 4)
Sm: 0.0000 0.0000 0.5000 (multiplicity 4)
Cu: 0.2500 0.2500 0.7500 (multiplicity 4)
Si: 0.2500 0.2500 0.2500 (multiplicity 4)

Calculated values
DOS(E_F) in states/eV/atom: 0.4192
Crystal system: cubic
Calculated density in g cm⁻³: 5.2
Total DFT energy (no corrections) in eV/atom: -4.41
Formation energy without anion corrections in kJ per mole of atoms: -33.9



Here is crystalline BaMn2Pt at its relaxed geometry from Alexandria via LeMat-Bulk. Energies are from PBE-GGA.

abc: 4.4480 4.4480 17.4914
angles: 90.00 90.00 120.00
Space group R-3m (No. 166, hexagonal axes)
Unique sites:
Ba: 0.0000 0.0000 0.0000 (multiplicity 3)
Mn: 0.0000 0.0000 0.1958 (multiplicity 6)
Pt: 0.0000 0.0000 0.5000 (multiplicity 3)

Calculated values
DOS(E_F) in states/eV/atom: 0.5620
Crystal system: trigonal
Calculated density in g cm⁻³: 7.4
Total DFT energy (no corrections) in eV/atom: -6.58
Formation energy from the elements in eV per atom: -0.008



Here is crystalline DyY4Al at its relaxed geometry from Alexandria via LeMat-Bulk. Energies are from PBE-GGA.

abc: 8.8248 13.8218 6.2401
angles: 90.00 108.79 90.00
Space group C2/c (No. 15)
Unique sites:
Dy: 0.0000 0.0965 0.2500 (multiplicity 4)
Y: 0.1003 0.3162 0.5472 (multiplicity 8)
Y: 0.2195 0.1108 0.8735 (multiplicity 8)
Al: 0.0000 0.4992 0.7500 (multiplicity 4)

Calculated values
DOS(E_F) in states/eV/atom: 1.4810
Crystal system: monoclinic
Calculated density in g cm⁻³: 5.0
Total DFT energy (no corrections) in eV/atom: -5.75
Formation energy from the elements in eV per atom: -0.048
Offset from the most stable computed form in meV/atom: 82



Here is crystalline Ca4CoMo at its relaxed geometry from Alexandria via LeMat-Bulk. Energies are from PBE-GGA.

abc: 8.9362 8.9362 8.9362
angles: 90.00 90.00 90.00
Space group F-43m (No. 216)
Unique sites:
Ca: 0.1248 0.1248 0.1248 (multiplicity 16)
Co: 0.2500 0.2500 0.7500 (multiplicity 4)
Mo: 0.0000 0.0000 0.5000 (multiplicity 4)

Calculated values
DOS(E_F) in states/eV/atom: 1.7350
Crystal system: cubic
Calculated density in g cm⁻³: 2.9
Total DFT energy (no corrections) in eV/atom: -3.02
Formation energy from the elements in eV per atom: 1.305



Here is crystalline CoReAs2 at its relaxed geometry from Alexandria via LeMat-Bulk. Energies are from PBE-GGA.

abc: 3.1429 4.9922 7.6156
angles: 90.00 90.00 90.00
Space group Cmmm (No. 65)
Unique sites:
Co: 0.0000 0.0000 0.0000 (multiplicity 2)
Re: 0.0000 0.0000 0.5000 (multiplicity 2)
As: 0.0000 0.5000 0.2352 (multiplicity 4)

Calculated values
DOS(E_F) in states/eV/atom: 0.8460
Crystal system: orthorhombic
Calculated density in g cm⁻³: 11.0
Total DFT energy (no corrections) in eV/atom: -6.72
Formation energy from the elements in eV per atom: 0.496
Offset from the most stable computed form in meV/atom: 418



Here is crystalline LiPrErSb at its relaxed geometry from Alexandria via LeMat-Bulk. Energies are from PBE-GGA.

abc: 7.4732 7.4732 7.4732
angles: 90.00 90.00 90.00
Space group F-43m (No. 216)
Unique sites:
Li: 0.0000 0.0000 0.0000 (multiplicity 4)
Pr: 0.2500 0.2500 0.2500 (multiplicity 4)
Er: 0.2500 0.2500 0.7500 (multiplicity 4)
Sb: 0.0000 0.0000 0.5000 (multiplicity 4)

Calculated values
DOS(E_F) in states/eV/atom: 0.9306
Crystal system: cubic
Calculated density in g cm⁻³: 7.0
Total DFT energy (no corrections) in eV/atom: -4.29
Formation energy without anion corrections in kJ per mole of atoms: -43.0



Here is crystalline Na2SrI2 at its relaxed geometry from Alexandria via LeMat-Bulk. Energies are from PBE-GGA.

abc: 4.3029 4.3029 22.5596
angles: 90.00 90.00 90.00
Space group I4/mmm (No. 139)
Unique sites:
Na: 0.0000 0.5000 0.2500 (multiplicity 4)
Sr: 0.0000 0.0000 0.0000 (multiplicity 2)
I: 0.0000 0.0000 0.4165 (multiplicity 4)

Calculated values
DOS(E_F) in states/eV/atom: 0.3523
Crystal system: tetragonal
Calculated density in g cm⁻³: 3.1
Total DFT energy (no corrections) in eV/atom: -2.26
Formation energy without anion corrections in kJ per mole of atoms: -75.1
Offset from the most stable computed form in meV/atom: 36